Record 1
# MnAs2Cl2 | Alexandria via LeMat-Bulk | GGA-PBE | relaxed
# * uncorrected formation energy: 0.249 eV per atom
# * DOS at the Fermi energy: 3.8 states/eV/cell
# * excess energy over the best structure of this formula in the dataset: 387.0 meV per atom
data_MnAs2Cl2
_chemical_formula_sum 'Mn2 As4 Cl4'
_symmetry_space_group_name_H-M 'I 4/m m m'
_symmetry_Int_Tables_number 139
_symmetry_space_group_name_Hall '-I 4 2'
_cell_length_a 3.5557
_cell_length_b 3.5557
_cell_length_c 19.6886
_cell_angle_alpha 90.00
_cell_angle_beta 90.00
_cell_angle_gamma 90.00
loop_
_atom_site_label
_atom_site_fract_x
_atom_site_fract_y
_atom_site_fract_z
_atom_site_occupancy
Mn1 0.0000 0.0000 0.0000 1
As1 0.0000 0.0000 0.4386 1
Cl1 0.0000 0.5000 0.2500 1



Record 2
# MnAs3Cl | Alexandria via LeMat-Bulk | GGA-PBE | relaxed
# * uncorrected formation energy: 0.275 eV per atom
# * DOS at the Fermi energy: 6.7 states/eV/cell
# * excess energy over the best structure of this formula in the dataset: 0.0 meV per atom
data_MnAs3Cl
_chemical_formula_sum 'Mn1 As3 Cl1'
_symmetry_space_group_name_H-M 'P m -3 m'
_symmetry_Int_Tables_number 221
_symmetry_space_group_name_Hall '-P 4 2 3'
_cell_length_a 4.6264
_cell_length_b 4.6264
_cell_length_c 4.6264
_cell_angle_alpha 90.00
_cell_angle_beta 90.00
_cell_angle_gamma 90.00
loop_
_atom_site_label
_atom_site_fract_x
_atom_site_fract_y
_atom_site_fract_z
_atom_site_occupancy
Mn1 0.0000 0.0000 0.0000 1
As1 0.0000 0.0000 0.5000 1
Cl1 0.5000 0.5000 0.5000 1



Record 3
# MnAs2Cl | Alexandria via LeMat-Bulk | GGA-PBE | relaxed
# * uncorrected formation energy: -0.219 eV per atom
# * DOS at the Fermi energy: 3.6 states/eV/cell
# * excess energy over the best structure of this formula in the dataset: 0.7 meV per atom
data_MnAs2Cl
_chemical_formula_sum 'Mn2 As4 Cl2'
_symmetry_space_group_name_H-M 'C m m m'
_symmetry_Int_Tables_number 65
_symmetry_space_group_name_Hall '-C 2 2'
_cell_length_a 4.6008
_cell_length_b 10.0543
_cell_length_c 3.3585
_cell_angle_alpha 90.00
_cell_angle_beta 90.00
_cell_angle_gamma 90.00
loop_
_atom_site_label
_atom_site_fract_x
_atom_site_fract_y
_atom_site_fract_z
_atom_site_occupancy
Mn1 0.0000 0.0000 0.0000 1
As1 0.0000 0.1865 0.5000 1
Cl1 0.0000 0.5000 0.0000 1



Record 4
# MnAsCl | Alexandria via LeMat-Bulk | GGA-PBE | relaxed
# * uncorrected formation energy: 0.474 eV per atom
# * DOS at the Fermi energy: 6.2 states/eV/cell
# * excess energy over the best structure of this formula in the dataset: 905.8 meV per atom
data_MnAsCl
_chemical_formula_sum 'Mn4 As4 Cl4'
_symmetry_space_group_name_H-M 'F -4 3 m'
_symmetry_Int_Tables_number 216
_symmetry_space_group_name_Hall 'F -4 2 3'
_cell_length_a 6.4880
_cell_length_b 6.4880
_cell_length_c 6.4880
_cell_angle_alpha 90.00
_cell_angle_beta 90.00
_cell_angle_gamma 90.00
loop_
_atom_site_label
_atom_site_fract_x
_atom_site_fract_y
_atom_site_fract_z
_atom_site_occupancy
Mn1 0.0000 0.0000 0.0000 1
As1 0.2500 0.2500 0.7500 1
Cl1 0.0000 0.0000 0.5000 1



Record 5
# MnAs2Cl2 | Alexandria via LeMat-Bulk | GGA-PBE | relaxed
# * uncorrected formation energy: -0.138 eV per atom
# * DOS at the Fermi energy: 4.3 states/eV/cell
# * excess energy over the best structure of this formula in the dataset: 0.0 meV per atom
data_MnAs2Cl2
_chemical_formula_sum 'Mn2 As4 Cl4'
_symmetry_space_group_name_H-M 'P 4/m b m'
_symmetry_Int_Tables_number 127
_symmetry_space_group_name_Hall '-P 4 2ab'
_cell_length_a 6.6793
_cell_length_b 6.6793
_cell_length_c 5.0555
_cell_angle_alpha 90.00
_cell_angle_beta 90.00
_cell_angle_gamma 90.00
loop_
_atom_site_label
_atom_site_fract_x
_atom_site_fract_y
_atom_site_fract_z
_atom_site_occupancy
Mn1 0.0000 0.0000 0.0000 1
As1 0.1356 0.3644 0.0000 1
Cl1 0.1767 0.3233 0.5000 1



Record 6
# MnAs2Cl8 | Alexandria via LeMat-Bulk | GGA-PBE | relaxed
# * uncorrected formation energy: -0.738 eV per atom
# * DOS at the Fermi energy: 0.0 states/eV/cell
data_MnAs2Cl8
_chemical_formula_sum 'Mn2 As4 Cl16'
_symmetry_space_group_name_H-M 'C 1 2/m 1'
_symmetry_Int_Tables_number 12
_symmetry_space_group_name_Hall '-C 2y'
_cell_length_a 13.5963
_cell_length_b 7.4943
_cell_length_c 8.0071
_cell_angle_alpha 90.00
_cell_angle_beta 92.58
_cell_angle_gamma 90.00
loop_
_atom_site_label
_atom_site_fract_x
_atom_site_fract_y
_atom_site_fract_z
_atom_site_occupancy
Mn1 0.0000 0.0000 0.0000 1
As1 0.1472 0.0000 0.3476 1
Cl1 0.0706 0.0000 0.7454 1
Cl2 0.1438 0.2219 0.1567 1
Cl3 0.1918 0.5000 0.5948 1